Entry one
# Tl3TeCl (GGA-PBE, relaxed)
data_Tl3TeCl
_chemical_formula_sum 'Tl12 Te4 Cl4'
_space_group_name_H-M_alt 'C m c m'
_space_group_IT_number 63
_space_group_name_Hall '-C 2c 2'
_cell_length_a 4.518
_cell_length_b 12.981
_cell_length_c 12.444
_cell_angle_alpha 90.00
_cell_angle_beta 90.00
_cell_angle_gamma 90.00
loop_
_atom_site_label
_atom_site_fract_x
_atom_site_fract_y
_atom_site_fract_z
Tl1 0.000 0.062 0.250
Tl2 0.000 0.333 0.072
Te1 0.000 0.251 0.750
Cl1 0.000 0.000 0.000
# M_tot in Bohr magnetons per cell: 0.00
# Mass density in g/cm³: 7.06
# Calculated volume in Å³/f.u.: 182.5

---

Entry two
# Tl3TeCl (GGA-PBE, relaxed)
data_Tl3TeCl
_chemical_formula_sum 'Tl3 Te1 Cl1'
_space_group_name_H-M_alt 'P m -3 m'
_space_group_IT_number 221
_space_group_name_Hall '-P 4 2 3'
_cell_length_a 5.853
_cell_length_b 5.853
_cell_length_c 5.853
_cell_angle_alpha 90.00
_cell_angle_beta 90.00
_cell_angle_gamma 90.00
loop_
_atom_site_label
_atom_site_fract_x
_atom_site_fract_y
_atom_site_fract_z
Tl1 0.000 0.000 0.500
Te1 0.500 0.500 0.500
Cl1 0.000 0.000 0.000
# M_tot in Bohr magnetons per cell: 0.00
# Mass density in g/cm³: 6.43
# Calculated volume in Å³/f.u.: 200.6

---

Stability, lowest: entry two